Run A
First-principles (GGA-PBE) data for La2HPd after structural relaxation, as listed in the Alexandria database.

- symmetry = I-42d
- crystal system = tetragonal

Cell and atoms, written as extended XYZ:
```
8
Lattice="6.985 0.000 0.000 0.000 6.985 0.000 3.492 3.492 3.805" Properties=species:S:1:pos:R:3 pbc="T T T"
La 2.187 5.238 0.951
La 8.731 8.290 2.854
La 5.238 5.679 2.854
La 4.798 1.746 0.951
Pd 0.000 0.000 0.000
Pd 6.985 3.492 1.902
H 3.492 3.492 0.000
H 3.492 6.985 1.902
```



Run B
First-principles (GGA-PBE) data for La2HPd after structural relaxation, as listed in the Alexandria database.

- symmetry = Fm-3m
- crystal system = cubic

Cell and atoms, written as extended XYZ:
```
4
Lattice="0.000 3.560 3.560 3.560 0.000 3.560 3.560 3.560 0.000" Properties=species:S:1:pos:R:3 pbc="T T T"
La 5.340 5.340 5.340
La 1.780 1.780 1.780
H 0.000 0.000 0.000
Pd 3.560 3.560 3.560
```



The least stable of them is run B.



Run A
First-principles (GGA-PBE) data for LaH2Pd after structural relaxation, as listed in the Alexandria database.

- symmetry = I-42d
- crystal system = tetragonal

Cell and atoms, written as extended XYZ:
```
8
Lattice="-1.804 3.984 -1.130 -1.193 0.681 4.304 3.298 4.772 2.530" Properties=species:S:1:pos:R:3 pbc="T T T"
La -0.002 5.544 1.493
La 0.000 0.000 0.000
H 1.156 5.439 3.787
H -0.159 3.121 0.648
H 0.045 7.550 3.975
H -0.439 2.764 2.998
Pd 0.304 3.893 4.210
Pd -1.498 2.333 1.587
```



Run B
First-principles (GGA-PBE) data for LaH2Pd after structural relaxation, as listed in the Alexandria database.

- symmetry = P2_1/c
- crystal system = monoclinic

Cell and atoms, written as extended XYZ:
```
16
Lattice="-5.287 -0.122 -3.517 -0.547 -5.664 3.375 -2.887 2.807 4.243" Properties=species:S:1:pos:R:3 pbc="T T T"
H -2.609 -0.485 -0.301
H -3.500 -2.717 2.294
H -5.220 -0.263 1.807
H -2.995 -3.508 5.566
H -5.726 0.529 -1.465
H -5.451 -2.836 -0.583
H -6.111 -2.494 4.402
H -3.269 -0.144 4.684
Pd -4.627 0.850 4.251
Pd -4.094 -3.830 -0.150
Pd -5.191 0.335 0.177
Pd -3.530 -3.314 3.924
La -5.936 -2.662 1.874
La -2.785 -0.317 2.227
La -7.019 1.490 2.182
La -1.701 -4.469 1.919
```



The least stable of them is run A.



Run A
First-principles (GGA-PBE) data for LaH2Pd after structural relaxation, as listed in the Alexandria database.

- symmetry = R-3m
- crystal system = trigonal

Cell and atoms, written as extended XYZ:
```
4
Lattice="-1.798 -3.861 0.670 0.914 -2.211 3.587 -3.290 -0.314 3.236" Properties=species:S:1:pos:R:3 pbc="T T T"
H -2.187 -5.328 5.047
H -1.986 -1.058 2.445
Pd 0.000 0.000 0.000
La -2.087 -3.193 3.746
```



Run B
First-principles (GGA-PBE) data for LaH2Pd after structural relaxation, as listed in the Alexandria database.

- symmetry = Fm-3m
- crystal system = cubic

Cell and atoms, written as extended XYZ:
```
4
Lattice="0.000 3.029 3.029 3.029 0.000 3.029 3.029 3.029 0.000" Properties=species:S:1:pos:R:3 pbc="T T T"
H 1.515 1.515 1.515
H 4.544 4.544 4.544
La 3.029 3.029 3.029
Pd 0.000 0.000 0.000
```



The least stable of them is run B.